*one*
First-principles (PBEsol) data for a relaxed TcS2F crystal, as listed in the Alexandria database.

Lattice parameters (Å, degrees): 2.6798 2.6798 8.6770 81.12 81.12 60.00
Closest atoms and distances in Å follow each position.
Sites, in units of the cell vectors:
Tc  0.0000  0.0000  0.0000  2 S 2.32
F  0.5000  0.5000  0.5000  6 S 2.49, 6 F 2.68
S  0.9096  0.9096  0.2713  1 Tc 2.32, 3 F 2.49
S  0.0904  0.0904  0.7287  1 Tc 2.32, 3 F 2.49



*two*
First-principles (PBEsol) data for a relaxed TcS2F crystal, as listed in the Alexandria database.

Lattice parameters (Å, degrees): 5.6756 6.1602 5.6756 62.57 90.00 117.43
Closest atoms and distances in Å follow each position.
Sites, in units of the cell vectors:
S  0.3750  0.2500  0.0813  2 Tc 2.18
S  0.6687  0.7500  0.3750  2 Tc 2.18
S  0.8750  0.2500  0.6687  2 Tc 2.18
S  0.0813  0.7500  0.8750  2 Tc 2.18
F  0.5000  0.0000  0.5000  4 S 2.48
F  0.2500  0.5000  0.2500  4 S 2.48
Tc  0.0000  0.0000  0.0000  4 S 2.18
Tc  0.7500  0.5000  0.7500  4 S 2.18



Stability ranking, top entry: *two*; the second entry is 0.622 eV/atom less favorable.



*one*
First-principles (PBEsol) data for a relaxed ScWF2 crystal, as listed in the Alexandria database.

Lattice parameters (Å, degrees): 4.2031 4.2031 4.2031 60.00 60.00 60.00
Closest atoms and distances in Å follow each position.
Sites, in units of the cell vectors:
Sc  0.0000  0.0000  0.0000  8 F 2.57
F  0.2500  0.2500  0.2500  4 W 2.57, 4 Sc 2.57
F  0.7500  0.7500  0.7500  4 W 2.57, 4 Sc 2.57
W  0.5000  0.5000  0.5000  8 F 2.57



*two*
First-principles (PBEsol) data for a relaxed ScWF2 crystal, as listed in the Alexandria database.

Lattice parameters (Å, degrees): 2.7778 2.7778 7.6193 79.50 79.50 60.00
Closest atoms and distances in Å follow each position.
Sites, in units of the cell vectors:
W  0.0000  0.0000  0.0000  2 F 2.16
Sc  0.5000  0.5000  0.5000  6 F 2.24
F  0.0969  0.0969  0.7094  1 W 2.16, 3 Sc 2.24
F  0.9031  0.9031  0.2906  1 W 2.16, 3 Sc 2.24



Stability ranking, top entry: *two*; the second entry is 1.204 eV/atom less favorable.



*one*
First-principles (PBEsol) data for a relaxed TcF6 crystal, as listed in the Alexandria database.

Lattice parameters (Å, degrees): 5.5050 5.5050 5.5050 109.47 109.47 109.47
Closest atoms and distances in Å follow each position.
Sites, in units of the cell vectors:
F  0.0000  0.7130  0.7130  1 Tc 1.82
F  0.7130  0.7130  0.0000  1 Tc 1.82
F  0.2870  0.2870  0.0000  1 Tc 1.82
F  0.2870  0.0000  0.2870  1 Tc 1.82
F  0.0000  0.2870  0.2870  1 Tc 1.82
F  0.7130  0.0000  0.7130  1 Tc 1.82
Tc  0.0000  0.0000  0.0000  6 F 1.82



*two*
First-principles (PBEsol) data for a relaxed TcF6 crystal, as listed in the Alexandria database.

Lattice parameters (Å, degrees): 4.9862 8.5945 9.3749 90.00 90.00 90.00
Closest atoms and distances in Å follow each position.
Sites, in units of the cell vectors:
F  0.8816  0.7500  0.7582  1 Tc 1.83
F  0.9335  0.4001  0.7409  1 Tc 1.82
F  0.7667  0.9000  0.4836  1 Tc 1.83
F  0.9335  0.0999  0.7409  1 Tc 1.82
F  0.7152  0.2500  0.0158  1 Tc 1.83
F  0.3816  0.2500  0.7418  1 Tc 1.83
F  0.1184  0.2500  0.2418  1 Tc 1.83
F  0.0665  0.9001  0.2591  1 Tc 1.82
F  0.2848  0.7500  0.9842  1 Tc 1.83
F  0.7848  0.2500  0.5158  1 Tc 1.83
F  0.4335  0.9001  0.7591  1 Tc 1.82
F  0.6184  0.7500  0.2582  1 Tc 1.83
F  0.0665  0.5999  0.2591  1 Tc 1.82
F  0.7667  0.6000  0.4836  1 Tc 1.83
F  0.2667  0.1000  0.0164  1 Tc 1.83
F  0.4335  0.5999  0.7591  1 Tc 1.82
F  0.7333  0.9000  0.9836  1 Tc 1.83
F  0.5665  0.0999  0.2409  1 Tc 1.82
F  0.2152  0.7500  0.4842  1 Tc 1.83
F  0.7333  0.6000  0.9836  1 Tc 1.83
F  0.2667  0.4000  0.0164  1 Tc 1.83
F  0.2333  0.4000  0.5164  1 Tc 1.83
F  0.5665  0.4001  0.2409  1 Tc 1.82
F  0.2333  0.1000  0.5164  1 Tc 1.83
Tc  0.9171  0.7500  0.3713  6 F 1.82-1.83
Tc  0.5829  0.7500  0.8713  6 F 1.82-1.83
Tc  0.0829  0.2500  0.6287  6 F 1.82-1.83
Tc  0.4171  0.2500  0.1287  6 F 1.82-1.83



Stability ranking, top entry: *two*; the second entry is 0.012 eV/atom less favorable.



*one*
First-principles (PBEsol) data for a relaxed GaFe2H2 crystal, as listed in the Alexandria database.

Lattice parameters (Å, degrees): 3.3765 3.3765 4.5698 111.68 111.68 90.00
Closest atoms and distances in Å follow each position.
Sites, in units of the cell vectors:
H  0.6629  0.6629  0.3258  4 Fe 1.82
H  0.3371  0.3371  0.6742  4 Fe 1.82
Fe  0.7500  0.2500  0.5000  4 H 1.82
Fe  0.2500  0.7500  0.5000  4 H 1.82
Ga  0.0000  0.0000  0.0000  8 Fe 2.58, 10 H 2.63-2.70



*two*
First-principles (PBEsol) data for a relaxed GaFe2H2 crystal, as listed in the Alexandria database.

Lattice parameters (Å, degrees): 2.8917 2.8917 5.1375 106.35 106.35 90.00
Closest atoms and distances in Å follow each position.
Sites, in units of the cell vectors:
Fe  0.6544  0.6544  0.3089  4 H 1.70
Fe  0.3456  0.3456  0.6911  4 H 1.70
Ga  0.0000  0.0000  0.0000  8 Fe 2.51, 8 H 2.76
H  0.7500  0.2500  0.5000  4 Fe 1.70
H  0.2500  0.7500  0.5000  4 Fe 1.70



Stability ranking, top entry: *two*; the second entry is 0.126 eV/atom less favorable.



*one*
First-principles (PBEsol) data for a relaxed FeGeH3 crystal, as listed in the Alexandria database.

Lattice parameters (Å, degrees): 3.3134 3.3134 3.3134 90.00 90.00 90.00
Closest atoms and distances in Å follow each position.
Sites, in units of the cell vectors:
Ge  0.5000  0.5000  0.5000  12 H 2.34
Fe  0.0000  0.0000  0.0000  6 H 1.66
H  0.0000  0.0000  0.5000  2 Fe 1.66
H  0.0000  0.5000  0.0000  2 Fe 1.66
H  0.5000  0.0000  0.0000  2 Fe 1.66



*two*
First-principles (PBEsol) data for a relaxed FeGeH3 crystal, as listed in the Alexandria database.

Lattice parameters (Å, degrees): 3.5298 3.5298 3.5298 90.00 90.00 90.00
Closest atoms and distances in Å follow each position.
Sites, in units of the cell vectors:
Ge  0.0000  0.0000  0.0000  6 H 1.76
H  0.0000  0.5000  0.0000  2 Ge 1.76
H  0.5000  0.0000  0.0000  2 Ge 1.76
H  0.0000  0.0000  0.5000  2 Ge 1.76
Fe  0.5000  0.5000  0.5000  12 H 2.50



Stability ranking, top entry: *one*; the second entry is 0.619 eV/atom less favorable.



*one*
First-principles (PBEsol) data for a relaxed LaFe5H7 crystal, as listed in the Alexandria database.

Lattice parameters (Å, degrees): 5.5107 5.5107 8.1813 90.00 90.00 120.00
Closest atoms and distances in Å follow each position.
Sites, in units of the cell vectors:
Fe  0.4884  0.5116  0.2266  4 H 1.70-1.71
Fe  0.4884  0.9767  0.2266  4 H 1.70-1.71
Fe  0.6667  0.3333  0.0134  4 H 1.68-1.87
Fe  0.9767  0.4884  0.7266  4 H 1.70-1.71
Fe  0.0233  0.5116  0.2266  4 H 1.70-1.71
Fe  0.3333  0.6667  0.9859  3 H 1.68
Fe  0.3333  0.6667  0.5134  4 H 1.68-1.87
Fe  0.5116  0.0233  0.7266  4 H 1.70-1.71
Fe  0.6667  0.3333  0.4859  3 H 1.68
Fe  0.5116  0.4884  0.7266  4 H 1.70-1.71
H  0.1389  0.8611  0.2265  2 Fe 1.70
H  0.2779  0.1389  0.7265  2 Fe 1.70
H  0.8611  0.1389  0.7265  2 Fe 1.70
H  0.8611  0.7221  0.7265  2 Fe 1.70
H  0.3333  0.6667  0.7419  4 Fe 1.71-1.87
H  0.0074  0.5037  0.4352  3 Fe 1.68-1.71
H  0.4963  0.9926  0.4352  3 Fe 1.68-1.71
H  0.7221  0.8611  0.2265  2 Fe 1.70
H  0.5037  0.0074  0.9352  3 Fe 1.68-1.71
H  0.9926  0.4963  0.9352  3 Fe 1.68-1.71
H  0.1389  0.2779  0.2265  2 Fe 1.70
H  0.4963  0.5037  0.4352  3 Fe 1.68-1.71
H  0.6667  0.3333  0.2419  4 Fe 1.71-1.87
H  0.5037  0.4963  0.9352  3 Fe 1.68-1.71
La  0.0000  0.0000  0.4770  6 H 2.43-2.44
La  0.0000  0.0000  0.9770  6 H 2.43-2.44



*two*
First-principles (PBEsol) data for a relaxed LaFe5H7 crystal, as listed in the Alexandria database.

Lattice parameters (Å, degrees): 5.3777 5.3777 8.0851 90.00 90.00 115.97
Closest atoms and distances in Å follow each position.
Sites, in units of the cell vectors:
H  0.8431  0.1569  0.7500  2 Fe 1.67
H  0.1569  0.8431  0.2500  2 Fe 1.67
H  0.1982  0.4071  0.1534  3 Fe 1.65-1.70
H  0.5929  0.8018  0.6534  3 Fe 1.65-1.70
H  0.8431  0.1569  0.2500  2 Fe 1.67
H  0.1569  0.8431  0.7500  2 Fe 1.67
H  0.8018  0.5929  0.1534  3 Fe 1.65-1.70
H  0.0000  0.5000  0.5000  4 Fe 1.73-1.88
H  0.4071  0.1982  0.3466  3 Fe 1.65-1.70
H  0.1982  0.4071  0.8466  3 Fe 1.65-1.70
H  0.5000  0.0000  0.0000  4 Fe 1.73-1.88
H  0.4071  0.1982  0.6534  3 Fe 1.65-1.70
H  0.8018  0.5929  0.8466  3 Fe 1.65-1.70
H  0.5929  0.8018  0.3466  3 Fe 1.65-1.70
Fe  0.3373  0.6430  0.0000  3 H 1.70-1.73
Fe  0.6627  0.3570  0.0000  3 H 1.70-1.73
Fe  0.5000  0.0000  0.7680  4 H 1.65-1.67
Fe  0.3570  0.6627  0.5000  3 H 1.70-1.73
Fe  0.5000  0.5000  0.2500  4 H 1.67
Fe  0.0000  0.5000  0.7320  4 H 1.65-1.67
Fe  0.5000  0.5000  0.7500  4 H 1.67
Fe  0.0000  0.5000  0.2680  4 H 1.65-1.67
Fe  0.5000  0.0000  0.2320  4 H 1.65-1.67
Fe  0.6430  0.3373  0.5000  3 H 1.70-1.73
La  0.0000  0.0000  0.0000  8 H 2.33-2.48
La  0.0000  0.0000  0.5000  8 H 2.33-2.48



Stability ranking, top entry: *two*; the second entry is 0.016 eV/atom less favorable.